[1]
# CaYTlPb, optimized geometry, DFT PBE
# Energy   -16.24 eV/cell
# Spin magnetization   0.00 μB per formula unit
# Calculated formation energy   -0.42 eV per atom
data_CaYTlPb
_space_group_name_H-M_alt 'P 4 m m'
_space_group_IT_number 99
_space_group_name_Hall 'P 4 -2'
_cell_length_a 3.949
_cell_length_b 3.949
_cell_length_c 7.450
_cell_angle_alpha 90.00
_cell_angle_beta 90.00
_cell_angle_gamma 90.00
loop_
_atom_site_label
_atom_site_fract_x
_atom_site_fract_y
_atom_site_fract_z
Ca1 0.000 0.000 0.000
Y1 0.000 0.000 0.498
Tl1 0.500 0.500 0.742
Pb1 0.500 0.500 0.256

---

[2]
# CaYTlPb, optimized geometry, DFT PBE
# Energy   -64.80 eV/cell
# Spin magnetization   0.00 μB per formula unit
# Calculated formation energy   -0.41 eV per atom
data_CaYTlPb
_space_group_name_H-M_alt 'F -4 3 m'
_space_group_IT_number 216
_space_group_name_Hall 'F -4 2 3'
_cell_length_a 7.736
_cell_length_b 7.736
_cell_length_c 7.736
_cell_angle_alpha 90.00
_cell_angle_beta 90.00
_cell_angle_gamma 90.00
loop_
_atom_site_label
_atom_site_fract_x
_atom_site_fract_y
_atom_site_fract_z
Ca1 0.000 0.000 0.000
Y1 0.000 0.000 0.500
Tl1 0.250 0.250 0.250
Pb1 0.250 0.250 0.750

---

[3]
# CaTlZnPb, optimized geometry, DFT PBE
# Energy   -39.33 eV/cell
# Spin magnetization   0.00 μB per formula unit
# Calculated formation energy   -0.12 eV per atom
data_CaTlZnPb
_space_group_name_H-M_alt 'F -4 3 m'
_space_group_IT_number 216
_space_group_name_Hall 'F -4 2 3'
_cell_length_a 7.601
_cell_length_b 7.601
_cell_length_c 7.601
_cell_angle_alpha 90.00
_cell_angle_beta 90.00
_cell_angle_gamma 90.00
loop_
_atom_site_label
_atom_site_fract_x
_atom_site_fract_y
_atom_site_fract_z
Ca1 0.000 0.000 0.000
Tl1 0.250 0.250 0.250
Zn1 0.250 0.250 0.750
Pb1 0.000 0.000 0.500

---

[4]
# CaZrTl2Pb, optimized geometry, DFT PBE
# Energy   -16.16 eV/cell
# Spin magnetization   0.00 μB per formula unit
# Calculated formation energy   0.57 eV per atom
data_CaZrTl2Pb
_space_group_name_H-M_alt 'P 4/m m m'
_space_group_IT_number 123
_space_group_name_Hall '-P 4 2'
_cell_length_a 5.622
_cell_length_b 5.622
_cell_length_c 5.816
_cell_angle_alpha 90.00
_cell_angle_beta 90.00
_cell_angle_gamma 90.00
loop_
_atom_site_label
_atom_site_fract_x
_atom_site_fract_y
_atom_site_fract_z
Ca1 0.000 0.000 0.000
Zr1 0.000 0.000 0.500
Tl1 0.000 0.500 0.500
Pb1 0.500 0.500 0.000

---

[5]
# CaTm5Pb6, optimized geometry, DFT PBE
# Energy   -51.19 eV/cell
# Spin magnetization   0.00 μB per formula unit
# Calculated formation energy   -0.38 eV per atom
data_CaTm5Pb6
_space_group_name_H-M_alt 'P 1 2/m 1'
_space_group_IT_number 10
_space_group_name_Hall '-P 2y'
_cell_length_a 5.658
_cell_length_b 7.160
_cell_length_c 8.367
_cell_angle_alpha 90.00
_cell_angle_beta 98.14
_cell_angle_gamma 90.00
loop_
_atom_site_label
_atom_site_fract_x
_atom_site_fract_y
_atom_site_fract_z
Ca1 0.000 0.000 0.000
Tm1 0.000 0.500 0.000
Tm2 0.338 0.000 0.666
Tm3 0.338 0.500 0.670
Pb1 0.164 0.253 0.337
Pb2 0.500 0.252 0.000

---

[6]
# CaTm5Pb6, optimized geometry, DFT PBE
# Energy   -102.56 eV/cell
# Spin magnetization   0.00 μB per formula unit
# Calculated formation energy   -0.39 eV per atom
data_CaTm5Pb6
_space_group_name_H-M_alt 'C 1 2/m 1'
_space_group_IT_number 12
_space_group_name_Hall '-C 2y'
_cell_length_a 9.287
_cell_length_b 14.280
_cell_length_c 5.760
_cell_angle_alpha 90.00
_cell_angle_beta 115.24
_cell_angle_gamma 90.00
loop_
_atom_site_label
_atom_site_fract_x
_atom_site_fract_y
_atom_site_fract_z
Ca1 0.000 0.000 0.000
Tm1 0.000 0.163 0.500
Tm2 0.000 0.333 0.000
Tm3 0.000 0.500 0.500
Pb1 0.246 0.500 0.251
Pb2 0.247 0.331 0.747

---

[7]
# CaTmPb2, optimized geometry, DFT PBE
# Energy   -45.85 eV/cell
# Spin magnetization   0.39 μB per formula unit
# Calculated formation energy   -0.35 eV per atom
data_CaTmPb2
_space_group_name_H-M_alt 'R 3 m'
_space_group_IT_number 160
_space_group_name_Hall 'R 3 -2"'
_cell_length_a 3.7122
_cell_length_b 3.7122
_cell_length_c 30.1847
_cell_angle_alpha 90.00
_cell_angle_beta 90.00
_cell_angle_gamma 120.00
loop_
_atom_site_label
_atom_site_fract_x
_atom_site_fract_y
_atom_site_fract_z
Ca1 0.0000 0.0000 0.0000
Tm1 0.0000 0.0000 0.1676
Pb1 0.0000 0.0000 0.4186
Pb2 0.0000 0.0000 0.5827

---

[8]
# CaTmPb2, optimized geometry, DFT PBE
# Energy   -15.52 eV/cell
# Spin magnetization   0.00 μB per formula unit
# Calculated formation energy   -0.41 eV per atom
data_CaTmPb2
_space_group_name_H-M_alt 'P 4/m m m'
_space_group_IT_number 123
_space_group_name_Hall '-P 4 2'
_cell_length_a 5.154
_cell_length_b 5.154
_cell_length_c 4.350
_cell_angle_alpha 90.00
_cell_angle_beta 90.00
_cell_angle_gamma 90.00
loop_
_atom_site_label
_atom_site_fract_x
_atom_site_fract_y
_atom_site_fract_z
Ca1 0.000 0.000 0.000
Tm1 0.500 0.500 0.000
Pb1 0.000 0.500 0.500